Record 1
{"formula": "Zr5Ge4", "functional": "PBE-GGA", "state": "optimized geometry", "sg": "P6_3/mcm (193)", "final_energy_ev_per_atom": -7.619, "e_above_lowest_polymorph_ev_per_atom": 0.031, "rho_g_cm3": 7.158, "lattice": [[8.3540, 0.0000, 0.0000], [-4.1770, 7.2348, 0.0000], [0.0000, 0.0000, 5.7318]], "species": ["Ge", "Ge", "Ge", "Ge", "Ge", "Ge", "Ge", "Ge", "Zr", "Zr", "Zr", "Zr", "Zr", "Zr", "Zr", "Zr", "Zr", "Zr"], "fractional_positions": [[0.0000, 0.0000, 0.5000], [0.3903, 0.3903, 0.2500], [0.0000, 0.3903, 0.7500], [0.0000, 0.6097, 0.2500], [0.0000, 0.0000, 0.0000], [0.6097, 0.6097, 0.7500], [0.6097, 0.0000, 0.2500], [0.3903, 0.0000, 0.7500], [0.6667, 0.3333, 0.5000], [0.7272, 0.0000, 0.7500], [0.7272, 0.7272, 0.2500], [0.3333, 0.6667, 0.5000], [0.2728, 0.2728, 0.7500], [0.6667, 0.3333, 0.0000], [0.0000, 0.2728, 0.2500], [0.2728, 0.0000, 0.2500], [0.3333, 0.6667, 0.0000], [0.0000, 0.7272, 0.7500]]}

---

Record 2
{"formula": "BaNbNO", "functional": "PBE-GGA", "state": "optimized geometry", "sg": "P4/nmm (129)", "final_energy_ev_per_atom": -7.254, "e_above_lowest_polymorph_ev_per_atom": 0.540, "rho_g_cm3": 6.083, "lattice": [[-2.8277, 0.8617, 3.5098], [-1.4117, -4.3658, -0.0656], [4.8918, -1.6471, 4.3456]], "species": ["O", "O", "N", "N", "Ba", "Ba", "Nb", "Nb"], "fractional_positions": [[0.5000, 0.0000, 0.0000], [0.0000, 0.5000, 0.0000], [0.0000, 0.0000, 0.6974], [0.5000, 0.5000, 0.3026], [0.0000, 0.5000, 0.5000], [0.5000, 0.0000, 0.5000], [0.5000, 0.5000, 0.0344], [0.0000, 0.0000, 0.9656]]}

---

Record 3
{"formula": "MgZrAu2", "functional": "PBE-GGA", "state": "optimized geometry", "sg": "P4/mmm (123)", "final_energy_ev_per_atom": -4.677, "rho_g_cm3": 11.016, "lattice": [[4.8963, 0.0000, 0.0000], [0.0000, 4.8963, 0.0000], [0.0000, 0.0000, 3.2032]], "species": ["Mg", "Zr", "Au", "Au"], "fractional_positions": [[0.5000, 0.5000, 0.0000], [0.0000, 0.0000, 0.0000], [0.5000, 0.0000, 0.5000], [0.0000, 0.5000, 0.5000]]}

---

Record 4
{"formula": "DyMgS2", "functional": "PBE-GGA", "state": "optimized geometry", "sg": "P4/mmm (123)", "final_energy_ev_per_atom": -5.198, "rho_g_cm3": 5.195, "lattice": [[-0.9621, -3.6787, -0.4796], [3.6838, -1.0059, 0.3263], [-0.6256, -0.5400, 5.3973]], "species": ["Dy", "S", "S", "Mg"], "fractional_positions": [[0.0000, 0.0000, 0.0000], [0.0000, 0.0000, 0.5000], [0.5000, 0.5000, 0.0000], [0.5000, 0.5000, 0.5000]]}